#P
First-principles (PBE) data for crystalline Rb3PAu at its relaxed geometry, as listed in Alexandria via LeMat-Bulk.

```
data_Rb3PAu
_space_group_name_H-M_alt 'P 1 21/c 1'
_space_group_IT_number 14
_cell_length_a 7.1165
_cell_length_b 9.9310
_cell_length_c 10.9781
_cell_angle_alpha 90.00
_cell_angle_beta 90.00
_cell_angle_gamma 90.00
loop_
_space_group_symop_operation_xyz
'x,y,z'
'-x,-y,-z'
'-x,y+1/2,-z+1/2'
'x,-y+1/2,z+1/2'
loop_
_atom_site_label
_atom_site_fract_x
_atom_site_fract_y
_atom_site_fract_z
_atom_site_occupancy
Rb1 0.2308 0.0428 0.3790 1
Rb2 0.2329 0.0423 0.8709 1
Rb3 0.2396 0.7394 0.6249 1
P1 0.0719 0.2460 0.1250 1
Au1 0.4068 0.2458 0.1250 1
```

Properties
Volume = 193.96 Å³/f.u.
Magnetic moment = 0.00 μB per formula unit

***

#Q
First-principles (PBE) data for crystalline Rb3PAu at its relaxed geometry, as listed in Alexandria via LeMat-Bulk.

```
data_Rb3PAu
_space_group_name_H-M_alt 'P m -3 m'
_space_group_IT_number 221
_space_group_name_Hall '-P 4 2 3'
_cell_length_a 6.4534
_cell_length_b 6.4534
_cell_length_c 6.4534
_cell_angle_alpha 90.00
_cell_angle_beta 90.00
_cell_angle_gamma 90.00
loop_
_atom_site_label
_atom_site_fract_x
_atom_site_fract_y
_atom_site_fract_z
_atom_site_occupancy
Rb1 0.0000 0.0000 0.5000 1
P1 0.0000 0.0000 0.0000 1
Au1 0.5000 0.5000 0.5000 1
```

Properties
Volume = 268.76 Å³/f.u.
Magnetic moment = 1.00 μB per formula unit

***

Ordering by calculated energy gives the sequence #P, #Q, with the first entry being the most stable.

***

#P
First-principles (PBE) data for crystalline RbPAuS2 at its relaxed geometry, as listed in Alexandria via LeMat-Bulk.

```
data_RbPAuS2
_space_group_name_H-M_alt 'P 4/m m m'
_space_group_IT_number 123
_space_group_name_Hall '-P 4 2'
_cell_length_a 6.0820
_cell_length_b 6.0820
_cell_length_c 6.5197
_cell_angle_alpha 90.00
_cell_angle_beta 90.00
_cell_angle_gamma 90.00
loop_
_atom_site_label
_atom_site_fract_x
_atom_site_fract_y
_atom_site_fract_z
_atom_site_occupancy
Rb1 0.0000 0.0000 0.0000 1
P1 0.0000 0.0000 0.5000 1
Au1 0.5000 0.5000 0.5000 1
S1 0.0000 0.5000 0.0000 1
```

Properties
Volume = 241.17 Å³/f.u.
Magnetic moment = 5.10 μB per formula unit

***

#Q
First-principles (PBE) data for crystalline RbPAuS2 at its relaxed geometry, as listed in Alexandria via LeMat-Bulk.

```
data_RbPAuS2
_space_group_name_H-M_alt 'P 4/m m m'
_space_group_IT_number 123
_space_group_name_Hall '-P 4 2'
_cell_length_a 5.2360
_cell_length_b 5.2360
_cell_length_c 4.6548
_cell_angle_alpha 90.00
_cell_angle_beta 90.00
_cell_angle_gamma 90.00
loop_
_atom_site_label
_atom_site_fract_x
_atom_site_fract_y
_atom_site_fract_z
_atom_site_occupancy
Rb1 0.0000 0.0000 0.0000 1
P1 0.5000 0.5000 0.0000 1
Au1 0.5000 0.5000 0.5000 1
S1 0.0000 0.5000 0.5000 1
```

Properties
Volume = 127.61 Å³/f.u.
Magnetic moment = 0.00 μB per formula unit

***

Ordering by calculated energy gives the sequence #Q, #P, with the first entry being the most stable.

***

#P
First-principles (PBE) data for crystalline ReP3Au at its relaxed geometry, as listed in Alexandria via LeMat-Bulk.

```
data_ReP3Au
_space_group_name_H-M_alt 'P m -3 m'
_space_group_IT_number 221
_space_group_name_Hall '-P 4 2 3'
_cell_length_a 4.6325
_cell_length_b 4.6325
_cell_length_c 4.6325
_cell_angle_alpha 90.00
_cell_angle_beta 90.00
_cell_angle_gamma 90.00
loop_
_atom_site_label
_atom_site_fract_x
_atom_site_fract_y
_atom_site_fract_z
_atom_site_occupancy
Re1 0.0000 0.0000 0.0000 1
P1 0.0000 0.0000 0.5000 1
Au1 0.5000 0.5000 0.5000 1
```

Properties
Volume = 99.41 Å³/f.u.
Magnetic moment = 0.00 μB per formula unit

***

#Q
First-principles (PBE) data for crystalline ReP3Au at its relaxed geometry, as listed in Alexandria via LeMat-Bulk.

```
data_ReP3Au
_space_group_name_H-M_alt 'P m -3 m'
_space_group_IT_number 221
_space_group_name_Hall '-P 4 2 3'
_cell_length_a 4.7217
_cell_length_b 4.7217
_cell_length_c 4.7217
_cell_angle_alpha 90.00
_cell_angle_beta 90.00
_cell_angle_gamma 90.00
loop_
_atom_site_label
_atom_site_fract_x
_atom_site_fract_y
_atom_site_fract_z
_atom_site_occupancy
Re1 0.0000 0.0000 0.0000 1
P1 0.0000 0.5000 0.5000 1
Au1 0.5000 0.5000 0.5000 1
```

Properties
Volume = 105.27 Å³/f.u.
Magnetic moment = 2.07 μB per formula unit

***

Ordering by calculated energy gives the sequence #P, #Q, with the first entry being the most stable.

***

#P
First-principles (PBE) data for crystalline Re2P2Au at its relaxed geometry, as listed in Alexandria via LeMat-Bulk.

```
data_Re2P2Au
_space_group_name_H-M_alt 'I 4/m m m'
_space_group_IT_number 139
_space_group_name_Hall '-I 4 2'
_cell_length_a 4.1901
_cell_length_b 4.1901
_cell_length_c 8.8447
_cell_angle_alpha 90.00
_cell_angle_beta 90.00
_cell_angle_gamma 90.00
loop_
_atom_site_label
_atom_site_fract_x
_atom_site_fract_y
_atom_site_fract_z
_atom_site_occupancy
Re1 0.0000 0.5000 0.2500 1
P1 0.0000 0.0000 0.1244 1
Au1 0.0000 0.0000 0.5000 1
```

Properties
Volume = 77.64 Å³/f.u.
Magnetic moment = 0.00 μB per formula unit

***

#Q
First-principles (PBE) data for crystalline Re2P2Au at its relaxed geometry, as listed in Alexandria via LeMat-Bulk.

```
data_Re2P2Au
_space_group_name_H-M_alt 'P 4/m b m'
_space_group_IT_number 127
_space_group_name_Hall '-P 4 2ab'
_cell_length_a 7.1027
_cell_length_b 7.1027
_cell_length_c 2.8651
_cell_angle_alpha 90.00
_cell_angle_beta 90.00
_cell_angle_gamma 90.00
loop_
_atom_site_label
_atom_site_fract_x
_atom_site_fract_y
_atom_site_fract_z
_atom_site_occupancy
Re1 0.1491 0.3509 0.0000 1
P1 0.1418 0.6418 0.5000 1
Au1 0.0000 0.0000 0.5000 1
```

Properties
Volume = 72.27 Å³/f.u.
Magnetic moment = 0.00 μB per formula unit

***

Ordering by calculated energy gives the sequence #P, #Q, with the first entry being the most stable.

***

#P
First-principles (PBE) data for crystalline ReP2AuS at its relaxed geometry, as listed in Alexandria via LeMat-Bulk.

```
data_ReP2AuS
_space_group_name_H-M_alt 'P 4/m m m'
_space_group_IT_number 123
_space_group_name_Hall '-P 4 2'
_cell_length_a 4.7421
_cell_length_b 4.7421
_cell_length_c 4.4395
_cell_angle_alpha 90.00
_cell_angle_beta 90.00
_cell_angle_gamma 90.00
loop_
_atom_site_label
_atom_site_fract_x
_atom_site_fract_y
_atom_site_fract_z
_atom_site_occupancy
Re1 0.0000 0.0000 0.0000 1
P1 0.0000 0.5000 0.0000 1
Au1 0.5000 0.5000 0.5000 1
S1 0.0000 0.0000 0.5000 1
```

Properties
Volume = 99.83 Å³/f.u.
Magnetic moment = 0.00 μB per formula unit

***

#Q
First-principles (PBE) data for crystalline ReP2AuS at its relaxed geometry, as listed in Alexandria via LeMat-Bulk.

```
data_ReP2AuS
_space_group_name_H-M_alt 'P 4/m m m'
_space_group_IT_number 123
_space_group_name_Hall '-P 4 2'
_cell_length_a 4.7339
_cell_length_b 4.7339
_cell_length_c 4.8079
_cell_angle_alpha 90.00
_cell_angle_beta 90.00
_cell_angle_gamma 90.00
loop_
_atom_site_label
_atom_site_fract_x
_atom_site_fract_y
_atom_site_fract_z
_atom_site_occupancy
Re1 0.0000 0.0000 0.0000 1
P1 0.0000 0.5000 0.5000 1
Au1 0.5000 0.5000 0.5000 1
S1 0.5000 0.5000 0.0000 1
```

Properties
Volume = 107.74 Å³/f.u.
Magnetic moment = 2.72 μB per formula unit

***

Ordering by calculated energy gives the sequence #P, #Q, with the first entry being the most stable.

***

#P
First-principles (PBE) data for crystalline P2RhAu at its relaxed geometry, as listed in Alexandria via LeMat-Bulk.

```
data_P2RhAu
_space_group_name_H-M_alt 'P 4/m m m'
_space_group_IT_number 123
_space_group_name_Hall '-P 4 2'
_cell_length_a 3.2751
_cell_length_b 3.2751
_cell_length_c 5.8205
_cell_angle_alpha 90.00
_cell_angle_beta 90.00
_cell_angle_gamma 90.00
loop_
_atom_site_label
_atom_site_fract_x
_atom_site_fract_y
_atom_site_fract_z
_atom_site_occupancy
P1 0.0000 0.0000 0.2019 1
Rh1 0.5000 0.5000 0.0000 1
Au1 0.5000 0.5000 0.5000 1
```

Properties
Volume = 62.43 Å³/f.u.
Magnetic moment = 0.00 μB per formula unit

***

#Q
First-principles (PBE) data for crystalline P2RhAu at its relaxed geometry, as listed in Alexandria via LeMat-Bulk.

```
data_P2RhAu
_space_group_name_H-M_alt 'I -4 2 d'
_space_group_IT_number 122
_space_group_name_Hall 'I -4 2bw'
_cell_length_a 5.4615
_cell_length_b 5.4615
_cell_length_c 10.7007
_cell_angle_alpha 90.00
_cell_angle_beta 90.00
_cell_angle_gamma 90.00
loop_
_atom_site_label
_atom_site_fract_x
_atom_site_fract_y
_atom_site_fract_z
_atom_site_occupancy
P1 0.2205 0.2500 0.1250 1
Rh1 0.0000 0.0000 0.0000 1
Au1 0.0000 0.0000 0.5000 1
```

Properties
Volume = 79.79 Å³/f.u.
Magnetic moment = 0.00 μB per formula unit

***

#R
First-principles (PBE) data for crystalline P2RhAu at its relaxed geometry, as listed in Alexandria via LeMat-Bulk.

```
data_P2RhAu
_space_group_name_H-M_alt 'P 1 2/m 1'
_space_group_IT_number 10
_cell_length_a 4.2074
_cell_length_b 3.8456
_cell_length_c 4.2431
_cell_angle_alpha 90.00
_cell_angle_beta 92.21
_cell_angle_gamma 90.00
loop_
_space_group_symop_operation_xyz
'x,y,z'
'-x,-y,-z'
'-x,y,-z'
'x,-y,z'
loop_
_atom_site_label
_atom_site_fract_x
_atom_site_fract_y
_atom_site_fract_z
_atom_site_occupancy
P1 0.1451 0.0000 0.2998 1
Rh1 0.0000 0.5000 0.0000 1
Au1 0.5000 0.5000 0.5000 1
```

Properties
Volume = 68.60 Å³/f.u.
Magnetic moment = 0.00 μB per formula unit

***

Ordering by calculated energy gives the sequence #Q, #R, #P, with the first entry being the most stable.

***

#P
First-principles (PBE) data for crystalline P2RhAu at its relaxed geometry, as listed in Alexandria via LeMat-Bulk.

```
data_P2RhAu
_space_group_name_H-M_alt 'C 1 2/m 1'
_space_group_IT_number 12
_cell_length_a 5.4206
_cell_length_b 7.8968
_cell_length_c 4.0318
_cell_angle_alpha 90.00
_cell_angle_beta 131.62
_cell_angle_gamma 90.00
loop_
_space_group_symop_operation_xyz
'x,y,z'
'-x,-y,-z'
'-x,y,-z'
'x,-y,z'
'x+1/2,y+1/2,z'
'-x+1/2,-y+1/2,-z'
'-x+1/2,y+1/2,-z'
'x+1/2,-y+1/2,z'
loop_
_atom_site_label
_atom_site_fract_x
_atom_site_fract_y
_atom_site_fract_z
_atom_site_occupancy
P1 0.2500 0.2500 0.0000 1
Rh1 0.0000 0.0000 0.5000 1
Au1 0.0000 0.5000 0.5000 1
```

Properties
Volume = 64.50 Å³/f.u.
Magnetic moment = 0.00 μB per formula unit

***

#Q
First-principles (PBE) data for crystalline P2RhAu at its relaxed geometry, as listed in Alexandria via LeMat-Bulk.

```
data_P2RhAu
_space_group_name_H-M_alt 'C 1 m 1'
_space_group_IT_number 8
_cell_length_a 7.4934
_cell_length_b 3.4910
_cell_length_c 5.2280
_cell_angle_alpha 90.00
_cell_angle_beta 90.36
_cell_angle_gamma 90.00
loop_
_space_group_symop_operation_xyz
'x,y,z'
'x,-y,z'
'x+1/2,y+1/2,z'
'x+1/2,-y+1/2,z'
loop_
_atom_site_label
_atom_site_fract_x
_atom_site_fract_y
_atom_site_fract_z
_atom_site_occupancy
P1 0.0000 0.0000 0.0000 1
P2 0.2200 0.5000 0.4260 1
Rh1 0.2890 0.0000 0.1543 1
Au1 0.4383 0.0000 0.6594 1
```

Properties
Volume = 68.38 Å³/f.u.
Magnetic moment = 0.00 μB per formula unit

***

#R
First-principles (PBE) data for crystalline P2RhAu at its relaxed geometry, as listed in Alexandria via LeMat-Bulk.

```
data_P2RhAu
_space_group_name_H-M_alt 'I m m 2'
_space_group_IT_number 44
_cell_length_a 3.0758
_cell_length_b 4.5949
_cell_length_c 8.5488
_cell_angle_alpha 90.00
_cell_angle_beta 90.00
_cell_angle_gamma 90.00
loop_
_space_group_symop_operation_xyz
'x,y,z'
'-x,-y,z'
'-x,y,z'
'x,-y,z'
'x+1/2,y+1/2,z+1/2'
'-x+1/2,-y+1/2,z+1/2'
'-x+1/2,y+1/2,z+1/2'
'x+1/2,-y+1/2,z+1/2'
loop_
_atom_site_label
_atom_site_fract_x
_atom_site_fract_y
_atom_site_fract_z
_atom_site_occupancy
P1 0.0000 0.0000 0.0000 1
P2 0.0000 0.5000 0.2806 1
Rh1 0.0000 0.5000 0.7132 1
Au1 0.0000 0.0000 0.5075 1
```

Properties
Volume = 60.41 Å³/f.u.
Magnetic moment = 0.00 μB per formula unit

***

Ordering by calculated energy gives the sequence #Q, #P, #R, with the first entry being the most stable.

***

#P
First-principles (PBE) data for crystalline P2RhAu at its relaxed geometry, as listed in Alexandria via LeMat-Bulk.

```
data_P2RhAu
_space_group_name_H-M_alt 'I -4 m 2'
_space_group_IT_number 119
_space_group_name_Hall 'I -4 -2'
_cell_length_a 3.7557
_cell_length_b 3.7557
_cell_length_c 8.6062
_cell_angle_alpha 90.00
_cell_angle_beta 90.00
_cell_angle_gamma 90.00
loop_
_atom_site_label
_atom_site_fract_x
_atom_site_fract_y
_atom_site_fract_z
_atom_site_occupancy
P1 0.0000 0.0000 0.0000 1
P2 0.0000 0.5000 0.2500 1
Rh1 0.0000 0.5000 0.7500 1
Au1 0.0000 0.0000 0.5000 1
```

Properties
Volume = 60.70 Å³/f.u.
Magnetic moment = 0.00 μB per formula unit

***

#Q
First-principles (PBE) data for crystalline P2RhAu at its relaxed geometry, as listed in Alexandria via LeMat-Bulk.

```
data_P2RhAu
_space_group_name_H-M_alt 'R 3 m'
_space_group_IT_number 160
_space_group_name_Hall 'R 3 -2"'
_cell_length_a 3.2855
_cell_length_b 3.2855
_cell_length_c 20.3794
_cell_angle_alpha 90.00
_cell_angle_beta 90.00
_cell_angle_gamma 120.00
loop_
_atom_site_label
_atom_site_fract_x
_atom_site_fract_y
_atom_site_fract_z
_atom_site_occupancy
P1 0.0000 0.0000 0.0000 1
P2 0.0000 0.0000 0.2496 1
Rh1 0.0000 0.0000 0.7298 1
Au1 0.0000 0.0000 0.5035 1
```

Properties
Volume = 63.51 Å³/f.u.
Magnetic moment = 0.00 μB per formula unit

***

Ordering by calculated energy gives the sequence #Q, #P, with the first entry being the most stable.